(1)
First-principles (GGA-PBEsol) data for crystalline CrIr2Pt at its relaxed geometry, as listed in Alexandria via LeMat-Bulk.

Computed properties:
For the calculated density, the calculation gives 19.2 Mg/m³. The calculated formation energy is -0.054 eV per atom. As for the space group: Cm, No. 8. The volume comes out at 54.5 Å³/cell. The value obtained for the density of states at the Fermi level is 1.17 states/eV/atom.

a = 2.680 Å, b = 4.635 Å, c = 4.656 Å
α = 99.69°, β = 106.73°, γ = 90.00°
Atoms (fractional coordinates):
Ir  0.997  0.998  0.994
Ir  0.747  0.238  0.494
Cr  0.252  0.756  0.505
Pt  0.504  0.507  0.007

(2)
First-principles (GGA-PBEsol) data for crystalline Te3Ir at its relaxed geometry, as listed in Alexandria via LeMat-Bulk.

Computed properties:
For the calculated density, the calculation gives 8.3 Mg/m³. As for the space group: C2/m, No. 12. The volume comes out at 115.4 Å³/cell. As for the uncorrected formation energy: -0.14 eV per formula unit. The value obtained for the density of states at the Fermi level is 0.58 states/eV/atom.

a = 3.965 Å, b = 3.967 Å, c = 8.759 Å
α = 102.72°, β = 90.00°, γ = 119.98°
Atoms (fractional coordinates):
Ir  0.000  0.000  0.000
Te  0.500  0.000  0.500
Te  0.616  0.233  0.845
Te  0.384  0.767  0.155

(3)
First-principles (GGA-PBEsol) data for crystalline TmCo4Ge2 at its relaxed geometry, as listed in Alexandria via LeMat-Bulk.

Computed properties:
For the calculated density, the calculation gives 9.9 Mg/m³. The calculated formation energy is -0.456 eV per atom. As for the space group: P4_2/mnm, No. 136. The volume comes out at 183.8 Å³/cell. The value obtained for the density of states at the Fermi level is 0.74 states/eV/atom.

a = 3.637 Å, b = 7.108 Å, c = 7.108 Å
α = 90.00°, β = 90.00°, γ = 90.00°
Atoms (fractional coordinates):
Co  0.000  0.853  0.419
Co  0.000  0.581  0.147
Co  0.500  0.081  0.353
Co  0.500  0.353  0.081
Co  0.000  0.147  0.581
Co  0.500  0.919  0.647
Co  0.000  0.419  0.853
Co  0.500  0.647  0.919
Ge  0.000  0.277  0.277
Ge  0.500  0.777  0.223
Ge  0.000  0.723  0.723
Ge  0.500  0.223  0.777
Tm  0.000  0.000  0.000
Tm  0.500  0.500  0.500